Entry 1:
VASP calculation (PBE with a Hubbard U) on a relaxed PaCo3Pb4O12 crystal.

Cell lengths 6.940, 6.940, 6.940 Å; angles 109.47, 109.47, 109.47 degrees
Element x y z (fractional)
O 0.500 0.250 0.750
O 0.250 0.500 0.750
O 0.250 0.750 0.500
O 0.000 0.265 0.265
O 0.735 0.000 0.735
O 0.500 0.750 0.250
O 0.265 0.000 0.265
O 0.735 0.735 0.000
O 0.000 0.735 0.735
O 0.265 0.265 0.000
O 0.750 0.500 0.250
O 0.750 0.250 0.500
Co 0.000 0.500 0.500
Co 0.500 0.000 0.500
Co 0.500 0.500 0.000
Pa 0.000 0.000 0.000
Pb 0.000 0.500 0.000
Pb 0.500 0.000 0.000
Pb 0.000 0.000 0.500
Pb 0.500 0.500 0.500

Calculated values
E_tot   -6.219 eV/atom
Total moment   0.31 μB per atom
Mass density   9.2 Mg/m³

Entry 2:
VASP calculation (PBE with a Hubbard U) on a relaxed Pa3Co4PbO12 crystal.

Cell lengths 7.253, 7.253, 7.253 Å; angles 106.75, 106.75, 106.75 degrees
Element x y z (fractional)
O 0.954 0.227 0.344
O 0.500 0.334 0.666
O 0.108 0.892 0.500
O 0.656 0.773 0.046
O 0.500 0.108 0.892
O 0.773 0.046 0.656
O 0.046 0.656 0.773
O 0.227 0.344 0.954
O 0.892 0.500 0.108
O 0.344 0.954 0.227
O 0.334 0.666 0.500
O 0.666 0.500 0.334
Co 0.500 0.942 0.058
Co 0.500 0.500 0.500
Co 0.058 0.500 0.942
Co 0.942 0.058 0.500
Pa 0.552 0.448 0.000
Pa 0.448 0.000 0.552
Pa 0.000 0.552 0.448
Pb 0.000 0.000 0.000

Calculated values
E_tot   -7.809 eV/atom
Total moment   0.55 μB per atom
Mass density   6.9 Mg/m³

Entry 3:
VASP calculation (PBE with a Hubbard U) on a relaxed PaCoPbO4 crystal.

Cell lengths 5.882, 7.320, 7.040 Å; angles 118.74, 90.00, 113.69 degrees
Element x y z (fractional)
O 0.691 0.383 0.248
O 0.691 0.383 0.634
O 0.294 0.031 0.765
O 0.263 0.969 0.235
O 0.706 0.969 0.235
O 0.737 0.031 0.765
O 0.309 0.617 0.366
O 0.309 0.617 0.752
Pa 0.500 0.000 0.000
Pa 0.500 0.000 0.500
Pb 0.203 0.406 0.953
Pb 0.797 0.594 0.047
Co 0.500 0.500 0.500
Co 0.000 0.500 0.500

Calculated values
E_tot   -7.479 eV/atom
Total moment   0.36 μB per atom
Mass density   7.9 Mg/m³

Entry 4:
VASP calculation (PBE with a Hubbard U) on a relaxed PaCo2PbO6 crystal.

Cell lengths 5.634, 5.634, 6.208 Å; angles 63.01, 63.01, 60.00 degrees
Element x y z (fractional)
O 0.329 0.908 0.226
O 0.908 0.537 0.226
O 0.537 0.329 0.226
O 0.463 0.671 0.774
O 0.092 0.463 0.774
O 0.671 0.092 0.774
Co 0.687 0.687 0.939
Co 0.313 0.313 0.061
Pb 0.000 0.000 0.000
Pa 0.500 0.500 0.500

Calculated values
E_tot   -7.064 eV/atom
Total moment   0.70 μB per atom
Mass density   7.4 Mg/m³

Entry 5:
VASP calculation (PBE with a Hubbard U) on a relaxed PaCoPdO6 crystal.

Cell lengths 5.328, 5.328, 8.862 Å; angles 90.00, 90.00, 120.00 degrees
Element x y z (fractional)
O 0.017 0.679 0.877
O 0.321 0.983 0.623
O 0.339 0.017 0.123
O 0.321 0.339 0.877
O 0.339 0.321 0.377
O 0.017 0.339 0.623
O 0.679 0.661 0.123
O 0.661 0.983 0.877
O 0.983 0.321 0.123
O 0.679 0.017 0.377
O 0.983 0.661 0.377
O 0.661 0.679 0.623
Pd 0.333 0.667 0.750
Pd 0.667 0.333 0.250
Pa 0.333 0.667 0.250
Pa 0.667 0.333 0.750
Co 0.000 0.000 0.500
Co 0.000 0.000 0.000

Calculated values
E_tot   -7.106 eV/atom
Total moment   0.23 μB per atom
Mass density   7.5 Mg/m³

Entry 6:
VASP calculation (PBE with a Hubbard U) on a relaxed PaCoPd2O6 crystal.

Cell lengths 5.487, 6.791, 6.791 Å; angles 77.09, 93.74, 93.74 degrees
Element x y z (fractional)
Co 0.250 0.922 0.078
Co 0.750 0.078 0.922
Pd 0.276 0.906 0.603
Pd 0.776 0.603 0.906
Pd 0.724 0.094 0.397
Pd 0.224 0.397 0.094
O 0.454 0.882 0.352
O 0.546 0.118 0.648
O 0.943 0.330 0.446
O 0.589 0.810 0.001
O 0.911 0.999 0.190
O 0.557 0.554 0.670
O 0.046 0.648 0.118
O 0.057 0.670 0.554
O 0.089 0.001 0.810
O 0.954 0.352 0.882
O 0.443 0.446 0.330
O 0.411 0.190 0.999
Pa 0.250 0.348 0.652
Pa 0.750 0.652 0.348

Calculated values
E_tot   -6.985 eV/atom
Total moment   0.20 μB per atom
Mass density   8.1 Mg/m³